Compound: Np4Se5S
Source: the Alexandria database
Functional: GGA-PBE
Structure: optimized geometry

Lattice parameters (Å, degrees): 17.759 4.061 8.035 90.00 104.72 90.00
Space group C2/m (No. 12)
One atom of each set of equivalent atoms:
Np1 0.000 0.000 0.247 x4
Np2 0.168 0.500 0.100 x4
Se1 0.000 0.500 0.500 x2
Se2 0.164 0.000 0.338 x4
Se3 0.167 0.000 0.846 x4
S1 0.000 0.500 0.000 x2

For the formation energy without anion corrections, the calculation gives -1083 meV/atom. The value obtained for the density of states at the Fermi level is 88.0 states/eV/cell.

---

Compound: AcBiSbPb
Source: the Alexandria database
Functional: GGA-PBE
Structure: optimized geometry

Lattice parameters (Å, degrees): 8.124 8.124 8.124 90.00 90.00 90.00
Space group F-43m (No. 216)
One atom of each set of equivalent atoms:
Ac1 0.000 0.000 0.000 x4
Bi1 0.250 0.250 0.250 x4
Sb1 0.250 0.250 0.750 x4
Pb1 0.000 0.000 0.500 x4

For the formation energy without anion corrections, the calculation gives -416 meV/atom. As for the energy relative to the lowest polymorph listed for this composition: 0.117 eV/atom. The value obtained for the density of states at the Fermi level is 12.2 states/eV/cell.

---

Compound: HoNpAl2O8
Source: the Alexandria database
Functional: GGA-PBE
Structure: optimized geometry

Lattice parameters (Å, degrees): 6.853 6.853 6.399 90.00 90.00 90.00
Space group I-4m2 (No. 119)
One atom of each set of equivalent atoms:
Ho1 0.000 0.000 0.000 x2
Np1 0.000 0.500 0.750 x2
Al1 0.000 0.000 0.500 x2
Al2 0.000 0.500 0.250 x2
O1 0.000 0.197 0.681 x8
O2 0.000 0.321 0.054 x8

For the formation energy without anion corrections, the calculation gives -2787 meV/atom.

---

Compound: La12Pr7Sn
Source: the Alexandria database
Functional: GGA-PBE
Structure: optimized geometry

Lattice parameters (Å, degrees): 12.6568 12.6568 15.4615 90.00 90.00 120.00
Space group R-3 (No. 148, hexagonal axes)
One atom of each set of equivalent atoms:
La1 0.0284 0.4399 0.2026 x18
La2 0.0553 0.5869 0.5896 x18
Pr1 0.0000 0.0000 0.0000 x3
Pr2 0.0487 0.1809 0.3029 x18
Sn1 0.0000 0.0000 0.5000 x3

The formation energy is 0.053 eV per atom. The value obtained for the density of states at the Fermi level is 102.6 states/eV/cell.

---

| no. | raw total energy (eV/f.u.) |
| --- | --- |
| 1 | -84.14 |
| 2 | -17.49 |
| 3 | -98.11 |
| 4 | -95.52 |